Material: La4GaSbBr2
Method: DFT, PBE-GGA
State: optimized geometry

Cell: 7.504 4.548 7.963 Å, 90.00 110.30 90.00°
Fractional positions:
La (0.232, 0.000, 0.230)
La (0.240, 0.500, 0.762)
La (0.760, 0.500, 0.238)
La (0.768, 0.000, 0.770)
Ga (0.000, 0.500, 0.000)
Sb (0.000, 0.000, 0.500)
Br (0.500, 0.000, 0.000)
Br (0.500, 0.500, 0.500)

Properties
ΔE_f (raw): -9.3 eV per formula unit
DOS at the Fermi energy: 4.59 states/eV per cell
calculated density: 5.908 g/cm³

***

Material: SrUCu2S6
Method: DFT, PBE-GGA
State: optimized geometry

Cell: 8.704 8.704 7.491 Å, 107.22 107.22 90.15°
Fractional positions:
Sr (0.086, 0.914, 0.750)
Sr (0.914, 0.086, 0.250)
U (0.251, 0.749, 0.250)
U (0.749, 0.251, 0.750)
Cu (0.247, 0.409, 0.889)
Cu (0.409, 0.247, 0.389)
Cu (0.591, 0.753, 0.611)
Cu (0.753, 0.591, 0.111)
S (0.028, 0.232, 0.691)
S (0.126, 0.638, 0.889)
S (0.232, 0.028, 0.191)
S (0.362, 0.874, 0.611)
S (0.369, 0.445, 0.218)
S (0.445, 0.369, 0.718)
S (0.555, 0.631, 0.282)
S (0.631, 0.555, 0.782)
S (0.638, 0.126, 0.389)
S (0.768, 0.972, 0.809)
S (0.874, 0.362, 0.111)
S (0.972, 0.768, 0.309)

Properties
ΔE_f (raw): -8.8 eV per formula unit
DOS at the Fermi energy: 2.65 states/eV per cell
calculated density: 4.158 g/cm³

***

Material: CsNiPCl2
Method: DFT, PBE-GGA
State: optimized geometry

Cell: 5.439 5.439 4.244 Å, 90.00 90.00 90.00°
Fractional positions:
Cs (0.000, 0.000, 0.000)
Ni (0.500, 0.500, 0.500)
P (0.500, 0.500, 0.000)
Cl (0.000, 0.500, 0.500)
Cl (0.500, 0.000, 0.500)

Properties
ΔE_f (raw): -2.5 eV per formula unit
DOS at the Fermi energy: 3.41 states/eV per cell
calculated density: 3.882 g/cm³

***

Material: KFeCo
Method: DFT, PBE-GGA
State: optimized geometry

Cell: 4.508 4.508 4.508 Å, 60.00 60.00 60.00°
Fractional positions:
K (0.000, 0.000, 0.000)
Fe (0.500, 0.500, 0.500)
Co (0.750, 0.750, 0.750)

Properties
DOS at the Fermi energy: 3.41 states/eV per cell
calculated density: 3.945 g/cm³
formation energy: 1508 meV per atom

***

Material: AgSnB3
Method: DFT, PBE-GGA
State: optimized geometry

Cell: 4.321 4.321 4.321 Å, 90.00 90.00 90.00°
Fractional positions:
Ag (0.000, 0.000, 0.000)
Sn (0.500, 0.500, 0.500)
B (0.000, 0.000, 0.500)
B (0.000, 0.500, 0.000)
B (0.500, 0.000, 0.000)

Properties
DOS at the Fermi energy: 2.68 states/eV per cell
calculated density: 5.331 g/cm³
formation energy: 1897 meV per atom

***

Material: Ac4P2Br3
Method: DFT, PBE-GGA
State: optimized geometry

Cell: 4.433 4.433 18.621 Å, 90.05 90.05 60.00°
Fractional positions:
Ac (0.001, 0.001, 0.293)
Ac (0.334, 0.334, 0.118)
Ac (0.666, 0.666, 0.882)
Ac (0.999, 0.999, 0.707)
P (0.333, 0.333, 0.797)
P (0.667, 0.667, 0.203)
Br (0.000, 0.000, 0.000)
Br (0.334, 0.334, 0.397)
Br (0.666, 0.666, 0.603)

Properties
ΔE_f (raw): -14.6 eV per formula unit
DOS at the Fermi energy: 4.80 states/eV per cell
calculated density: 6.338 g/cm³

***

Material: PaAlAu2O8
Method: DFT, PBE-GGA
State: optimized geometry

Cell: 5.923 5.923 5.923 Å, 109.95 109.95 108.51°
Fractional positions:
Pa (0.000, 0.000, 0.000)
Al (0.250, 0.750, 0.500)
Au (0.500, 0.500, 0.000)
Au (0.750, 0.250, 0.500)
O (0.273, 0.076, 0.802)
O (0.273, 0.471, 0.198)
O (0.333, 0.005, 0.328)
O (0.529, 0.727, 0.802)
O (0.677, 0.005, 0.672)
O (0.924, 0.727, 0.198)
O (0.995, 0.323, 0.328)
O (0.995, 0.667, 0.672)

Properties
ΔE_f (raw): -14.2 eV per formula unit
DOS at the Fermi energy: 7.14 states/eV per cell
calculated density: 8.099 g/cm³

***

Material: La2YVW
Method: DFT, PBE-GGA
State: optimized geometry

Cell: 5.467 5.467 4.730 Å, 90.00 90.00 90.00°
Fractional positions:
La (0.000, 0.500, 0.000)
La (0.500, 0.000, 0.000)
Y (0.000, 0.000, 0.500)
V (0.500, 0.500, 0.000)
W (0.500, 0.500, 0.500)

Properties
DOS at the Fermi energy: 7.77 states/eV per cell
calculated density: 7.066 g/cm³
formation energy: 797 meV per atom

***

Material: Rb2GeAs
Method: DFT, PBE-GGA
State: optimized geometry

Cell: 9.800 9.800 9.800 Å, 93.72 93.72 150.49°
Fractional positions:
Rb (0.375, 0.175, 0.300)
Rb (0.825, 0.125, 0.200)
Rb (0.875, 0.075, 0.700)
Rb (0.925, 0.625, 0.800)
Ge (0.250, 0.750, 0.500)
Ge (0.500, 0.500, 0.000)
As (0.000, 0.000, 0.000)
As (0.750, 0.250, 0.500)

Properties
DOS at the Fermi energy: 4.80 states/eV per cell
calculated density: 2.360 g/cm³
formation energy: -76 meV per atom

***

Material: PmSm2Dy2Er
Method: DFT, PBE-GGA
State: optimized geometry

Cell: 7.016 9.805 5.640 Å, 90.00 90.00 90.00°
Fractional positions:
Pm (0.000, 0.000, 0.000)
Pm (0.500, 0.500, 0.500)
Sm (0.248, 0.333, 0.000)
Sm (0.252, 0.833, 0.500)
Sm (0.748, 0.167, 0.500)
Sm (0.752, 0.667, 0.000)
Dy (0.250, 0.167, 0.500)
Dy (0.250, 0.667, 0.000)
Dy (0.750, 0.333, 0.000)
Dy (0.750, 0.833, 0.500)
Er (0.000, 0.500, 0.500)
Er (0.500, 0.000, 0.000)

Properties
DOS at the Fermi energy: 19.12 states/eV per cell
calculated density: 8.028 g/cm³
formation energy: 64 meV per atom